The following is a DFT calculation (PBE-GGA) of crystalline MnSnAs3 at its relaxed geometry. Values from VASP.

Output
For the total magnetic moment, the calculation gives 0.000 μB per atom. As for the space group: Pm-3m. As for the relative energy among the computed polymorphs: 0.000 eV per atom. The energy relative to the elements comes out at 0.352 eV per atom.

Quantum ESPRESSO input file:
```
&SYSTEM
  ibrav = 0, nat = 5, ntyp = 3
/
ATOMIC_SPECIES
As 74.92 As.upf
Mn 54.94 Mn.upf
Sn 118.71 Sn.upf
CELL_PARAMETERS angstrom
4.6926 0.0000 0.0000
0.0000 4.6926 0.0000
0.0000 0.0000 4.6926
ATOMIC_POSITIONS crystal
As 0.0000 0.5000 0.0000
As 0.5000 0.0000 0.0000
As 0.0000 0.0000 0.5000
Mn 0.0000 0.0000 0.0000
Sn 0.5000 0.5000 0.5000
```


The following is a DFT calculation (PBE-GGA) of crystalline LiRe2Se at its relaxed geometry. Values from VASP.

Output
For the total magnetic moment, the calculation gives 0.000 μB per atom. As for the space group: I-42d. The value obtained for the energy relative to the elements, uncorrected is 498 meV per atom.

Quantum ESPRESSO input file:
```
&SYSTEM
  ibrav = 0, nat = 8, ntyp = 3
/
ATOMIC_SPECIES
Re 186.21 Re.upf
Se 78.96 Se.upf
Li 6.94 Li.upf
CELL_PARAMETERS angstrom
-2.8656 -2.2695 -0.3483
2.1997 -2.8732 0.6242
-2.0384 -1.8499 9.4691
ATOMIC_POSITIONS crystal
Re 0.3750 0.3579 0.7500
Re 0.1079 0.6250 0.2500
Re 0.6421 0.1250 0.2500
Re 0.8750 0.8921 0.7500
Se 0.7500 0.2500 0.5000
Se 0.0000 0.0000 0.0000
Li 0.5000 0.5000 0.0000
Li 0.2500 0.7500 0.5000
```


The following is a DFT calculation (PBE-GGA) of crystalline CaSiH at its relaxed geometry. Values from VASP.

Output
For the total magnetic moment, the calculation gives 0.011 μB per atom. As for the space group: P3m1. As for the relative energy among the computed polymorphs: 0.068 eV per atom.

Quantum ESPRESSO input file:
```
&SYSTEM
  ibrav = 0, nat = 6, ntyp = 3
/
ATOMIC_SPECIES
Ca 40.08 Ca.upf
H 1.01 H.upf
Si 28.09 Si.upf
CELL_PARAMETERS angstrom
3.8218 0.0000 0.0000
-1.9109 3.3098 0.0000
0.0000 0.0000 8.4137
ATOMIC_POSITIONS crystal
Ca 0.6667 0.3333 0.5955
Ca 0.3333 0.6667 0.9728
H 0.3333 0.6667 0.6862
H 0.6667 0.3333 0.8654
Si 0.0000 0.0000 0.3357
Si 0.6667 0.3333 0.2270
```


The following is a DFT calculation (PBE-GGA) of crystalline YTe2 at its relaxed geometry. Values from VASP.

Output
For the total magnetic moment, the calculation gives 0.000 μB per atom. As for the space group: P-62m. The value obtained for the energy relative to the elements, uncorrected is -1059 meV per atom.

Quantum ESPRESSO input file:
```
&SYSTEM
  ibrav = 0, nat = 9, ntyp = 2
/
ATOMIC_SPECIES
Y 88.91 Y.upf
Te 127.60 Te.upf
CELL_PARAMETERS angstrom
4.2229 -7.3142 0.0000
4.2229 7.3142 0.0000
0.0000 0.0000 4.2397
ATOMIC_POSITIONS crystal
Y 0.3333 0.6667 0.0000
Y 0.6667 0.3333 0.0000
Y 0.0000 0.0000 0.5000
Te 0.2668 0.0000 0.0000
Te 0.5980 0.0000 0.5000
Te 0.4020 0.4020 0.5000
Te 0.7332 0.7332 0.0000
Te 0.0000 0.5980 0.5000
Te 0.0000 0.2668 0.0000
```


The following is a DFT calculation (PBE-GGA) of crystalline TeMo2 at its relaxed geometry. Values from VASP.

Output
For the total magnetic moment, the calculation gives 0.000 μB per atom. As for the space group: P6/mmm. The value obtained for the energy relative to the elements, uncorrected is 710 meV per atom. As for the relative energy among the computed polymorphs: 0.668 eV per atom.

Quantum ESPRESSO input file:
```
&SYSTEM
  ibrav = 0, nat = 3, ntyp = 2
/
ATOMIC_SPECIES
Mo 95.94 Mo.upf
Te 127.60 Te.upf
CELL_PARAMETERS angstrom
-4.0172 1.1022 1.5238
1.0285 -4.2639 -0.6602
1.1368 -0.2137 3.1516
ATOMIC_POSITIONS crystal
Mo 0.3333 0.6667 0.5000
Mo 0.6667 0.3333 0.5000
Te 0.0000 0.0000 0.0000
```


The following is a DFT calculation (PBE-GGA) of crystalline BaCuAs2 at its relaxed geometry. Values from VASP.

Output
For the total magnetic moment, the calculation gives 0.000 μB per atom. As for the space group: P4/mmm. The energy relative to the elements comes out at -0.142 eV per atom.

Quantum ESPRESSO input file:
```
&SYSTEM
  ibrav = 0, nat = 4, ntyp = 3
/
ATOMIC_SPECIES
Cu 63.55 Cu.upf
As 74.92 As.upf
Ba 137.33 Ba.upf
CELL_PARAMETERS angstrom
-3.5179 -0.0392 1.0475
0.5877 -3.1165 1.8572
1.6184 3.6250 5.5708
ATOMIC_POSITIONS crystal
Cu 0.5000 0.5000 0.7500
As 0.0000 0.0000 0.9256
As 0.0000 0.0000 0.5744
Ba 0.5000 0.5000 0.2500
```


The following is a DFT calculation (PBE-GGA) of crystalline NiIr3Os at its relaxed geometry. Values from VASP.

Output
For the total magnetic moment, the calculation gives 0.000 μB per atom. As for the space group: P2_1/m. As for the relative energy among the computed polymorphs: 0.358 eV per atom. The energy relative to the elements comes out at 0.394 eV per atom.

Quantum ESPRESSO input file:
```
&SYSTEM
  ibrav = 0, nat = 10, ntyp = 3
/
ATOMIC_SPECIES
Os 190.23 Os.upf
Ir 192.22 Ir.upf
Ni 58.69 Ni.upf
CELL_PARAMETERS angstrom
-1.7820 1.9809 0.4061
-3.7925 -4.5086 -3.6172
-2.5142 -3.7641 7.3277
ATOMIC_POSITIONS crystal
Os 0.2825 0.0654 0.2500
Os 0.7175 0.9346 0.7500
Ir 0.8352 0.1706 0.9971
Ir 0.4032 0.3060 0.7500
Ir 0.5968 0.6940 0.2500
Ir 0.1648 0.8294 0.0029
Ir 0.1648 0.8294 0.4971
Ir 0.8352 0.1706 0.5029
Ni 0.9442 0.3895 0.2500
Ni 0.0558 0.6105 0.7500
```


The following is a DFT calculation (PBE-GGA) of crystalline ZrFe5 at its relaxed geometry. Values from VASP.

Output
For the total magnetic moment, the calculation gives 1.737 μB per atom. As for the space group: C2/m. The energy relative to the elements comes out at 0.026 eV per atom.

Quantum ESPRESSO input file:
```
&SYSTEM
  ibrav = 0, nat = 6, ntyp = 2
/
ATOMIC_SPECIES
Fe 55.84 Fe.upf
Zr 91.22 Zr.upf
CELL_PARAMETERS angstrom
-3.2495 -2.8759 -2.2076
-0.4604 -3.6828 -3.1510
-0.3750 -4.9665 3.1391
ATOMIC_POSITIONS crystal
Fe 0.8270 0.8270 0.8516
Fe 0.5000 0.5000 0.0000
Fe 0.8268 0.8268 0.3172
Fe 0.1732 0.1732 0.6828
Fe 0.1730 0.1730 0.1484
Zr 0.5000 0.5000 0.5000
```